A plane-wave DFT calculation with PBE was carried out for Y2Hf4Al3N3 after structural relaxation.

Output
The calculation puts the energy at -8.529 eV per atom.

Lattice parameters (Å, degrees): 5.6864 5.6864 14.7533 101.27 101.27 60.00
With the nearest neighbours (Å) after each atom.
Element x y z (fractional)
Y1 0.0377 0.8733 0.6108  3 N 2.49-2.50
Y2 0.1267 0.9623 0.8892  3 N 2.49-2.50
Y3 0.8733 0.0377 0.1108  3 N 2.49-2.50
Y4 0.9623 0.1267 0.3892  3 N 2.49-2.50
Hf1 0.1923 0.3533 0.0813  3 N 2.20-2.24
Hf2 0.2977 0.4823 0.4187  3 N 2.20-2.24
Hf3 0.3533 0.1923 0.5813  3 N 2.20-2.24
Hf4 0.4823 0.2977 0.9187  3 N 2.20-2.24
Hf5 0.5177 0.7023 0.0813  3 N 2.20-2.24
Hf6 0.6467 0.8077 0.4187  3 N 2.20-2.24
Hf7 0.7023 0.5177 0.5813  3 N 2.20-2.24
Hf8 0.8077 0.6467 0.9187  3 N 2.20-2.24
Al1 0.0860 0.3985 0.7509  4 Al 2.85, 4 Hf 2.92-2.94
Al2 0.3985 0.0860 0.2509  4 Al 2.85, 4 Hf 2.92-2.94
Al3 0.4308 0.5692 0.2500  4 Al 2.85, 4 Hf 2.93-2.95
Al4 0.5692 0.4308 0.7500  4 Al 2.85, 4 Hf 2.93-2.95
Al5 0.6015 0.9140 0.7491  4 Al 2.85, 4 Hf 2.92-2.94
Al6 0.9140 0.6015 0.2491  4 Al 2.85, 4 Hf 2.92-2.94
N1 0.0000 0.5000 0.5000  4 Hf 2.21
N2 0.1712 0.6576 0.0000  4 Hf 2.20-2.24
N3 0.3424 0.8288 0.5000  4 Hf 2.20-2.24
N4 0.5000 0.0000 0.0000  4 Hf 2.21
N5 0.6576 0.1712 0.5000  4 Hf 2.20-2.24
N6 0.8288 0.3424 0.0000  4 Hf 2.20-2.24